(1)
The following is a DFT calculation (PBE-GGA) of a relaxed ScInHg crystal.

Lattice parameters (Å, degrees): 4.5783 6.2511 6.1039 119.30 112.49 68.52
Closest atoms and distances in Å follow each position.
Sites, in units of the cell vectors:
In 0.9822 0.2415 0.1307  4 Hg 3.00-3.22, 3 Sc 3.07-3.31
In 0.6360 0.4220 0.6114  3 Hg 2.99-3.24, 4 Sc 3.08-3.16
Sc 0.6618 0.8908 0.1375  3 Hg 2.93-3.20, 4 In 3.07-3.16
Hg 0.3111 0.5669 0.1140  4 Sc 2.93-3.18, 3 In 3.00-3.24
Sc 0.3169 0.0730 0.6254  4 Hg 2.93-3.18, 2 In 3.08
Hg 0.9796 0.7637 0.6390  3 Sc 2.93-3.20, 4 In 2.99-3.22

Values from the calculation:
- E above lowest polymorph: 36.5 meV/atom
- SG: P1
- Electronic total energy: -3.41 eV per atom
- Total magnetization: 0.000 μB per cell
- Fermi-level density of states: 0.539 states/eV/atom
- Energy of formation from the pure elements: -0.284 eV/atom

***

(2)
The following is a DFT calculation (PBE-GGA) of a relaxed Sr2HoSnAu6 crystal.

Lattice parameters (Å, degrees): 7.6151 7.6151 7.6152 60.00 60.00 90.00
Closest atoms and distances in Å follow each position.
Sites, in units of the cell vectors:
Au 0.7534 0.7534 0.4932  1 Sn 2.66, 1 Ho 2.73
Au 0.2466 0.2466 0.5068  1 Sn 2.66, 1 Ho 2.73
Sn 0.0000 0.0000 0.0000  6 Au 2.66
Ho 0.5000 0.5000 0.0000  6 Au 2.73
Au 0.2466 0.2466 0.0000  1 Sn 2.66, 1 Ho 2.73
Sr 0.7500 0.2500 0.5000  12 Au 3.81
Au 0.7534 0.7534 0.0000  1 Sn 2.66, 1 Ho 2.73
Au 0.7534 0.2466 0.0000  1 Sn 2.66, 1 Ho 2.73
Au 0.2466 0.7534 0.0000  1 Sn 2.66, 1 Ho 2.73
Sr 0.2500 0.7500 0.5000  12 Au 3.81

Values from the calculation:
- SG: Fm-3m
- Electronic total energy: -3.40 eV per atom
- Total magnetization: 0.000 μB per cell
- Fermi-level density of states: 0.502 states/eV/atom
- Energy of formation from the pure elements: -0.244 eV/atom

***

(3)
The following is a DFT calculation (PBE-GGA) of a relaxed LiInOs2 crystal.

Lattice parameters (Å, degrees): 4.6483 4.6483 5.0127 83.23 83.23 35.59
Closest atoms and distances in Å follow each position.
Sites, in units of the cell vectors:
In 0.4941 0.4941 0.4731  3 Li 2.52-2.78
Li 0.2508 0.2508 0.2583  3 In 2.52-2.78, 3 Os 2.72-2.73
Os 0.0077 0.0077 0.9723  5 Os 2.57-2.84, 1 Li 2.73, 2 In 2.87
Os 0.7473 0.7473 0.7963  5 Os 2.57-2.84, 2 Li 2.72

Values from the calculation:
- SG: Cm
- Electronic total energy: -6.46 eV per atom
- Total magnetization: 0.000 μB per cell
- Fermi-level density of states: 0.685 states/eV/atom
- Energy of formation from the pure elements: 0.316 eV/atom

***

(4)
The following is a DFT calculation (PBE-GGA) of a relaxed Ba2NaGa4Si3 crystal.

Lattice parameters (Å, degrees): 4.7118 4.7118 10.5660 90.00 90.00 90.00
Closest atoms and distances in Å follow each position.
Sites, in units of the cell vectors:
Si 0.0000 0.0000 0.5000  4 Ga 2.80
Na 0.5000 0.5000 0.5000  4 Ga 2.80
Si 0.5000 0.0000 0.8858  5 Ga 2.57-2.65
Ba 0.0000 0.5000 0.7606  8 Ga 3.46-3.56, 7 Si 3.58-3.74, 2 Na 3.62
Ga 0.5000 0.0000 0.6428  3 Si 2.57-2.80, 2 Na 2.80
Ga 0.0000 0.5000 0.3572  3 Si 2.57-2.80, 2 Na 2.80
Si 0.0000 0.5000 0.1142  5 Ga 2.57-2.65
Ga 0.0000 0.0000 0.0000  4 Si 2.65
Ba 0.5000 0.0000 0.2394  8 Ga 3.46-3.56, 7 Si 3.58-3.74, 2 Na 3.62
Ga 0.5000 0.5000 0.0000  4 Si 2.65

Values from the calculation:
- SG: P-4m2
- Electronic total energy: -3.55 eV per atom
- Total magnetization: 0.000 μB per cell
- Fermi-level density of states: 0.490 states/eV/atom
- Formation energy from raw total energies: -0.192 eV per atom

***

(5)
The following is a DFT calculation (PBE-GGA) of a relaxed RbInH4 crystal.

Lattice parameters (Å, degrees): 7.5989 7.7612 8.0004 90.00 90.00 103.52
Closest atoms and distances in Å follow each position.
Sites, in units of the cell vectors:
H 0.2077 0.6382 0.2390  1 In 1.77
H 0.0517 0.2561 0.9895  1 In 1.77
Rb 0.5992 0.7821 0.1630  7 H 2.81-3.00
H 0.5152 0.6141 0.8400  1 In 1.79
H 0.9483 0.7439 0.0105  1 In 1.77
H 0.0152 0.1141 0.6600  1 In 1.79
Rb 0.9008 0.7179 0.6630  7 H 2.81-3.00
In 0.8932 0.1890 0.8261  4 H 1.77-1.79
H 0.2886 0.9932 0.1191  1 In 1.79
H 0.7077 0.1382 0.2610  1 In 1.77
H 0.4848 0.3859 0.1600  1 In 1.79
H 0.7923 0.3618 0.7610  1 In 1.77
In 0.3932 0.6890 0.6739  4 H 1.77-1.79
H 0.2114 0.5068 0.6191  1 In 1.79
Rb 0.4008 0.2179 0.8370  7 H 2.81-3.00
In 0.6068 0.3110 0.3261  4 H 1.77-1.79
H 0.4483 0.2439 0.4895  1 In 1.77
H 0.2923 0.8618 0.7390  1 In 1.77
H 0.7886 0.4932 0.3809  1 In 1.79
In 0.1068 0.8110 0.1739  4 H 1.77-1.79
H 0.5517 0.7561 0.5105  1 In 1.77
H 0.7114 0.0068 0.8809  1 In 1.79
H 0.9848 0.8859 0.3400  1 In 1.79
Rb 0.0992 0.2821 0.3370  7 H 2.81-3.00

Values from the calculation:
- SG: P2_1/c
- Electronic total energy: -2.92 eV per atom
- Total magnetization: 0.000 μB per cell
- Fermi-level density of states: 0.000 states/eV/atom

***

(6)
The following is a DFT calculation (PBE-GGA) of a relaxed Sr2AsCl crystal.

Lattice parameters (Å, degrees): 7.0539 7.0539 7.0539 143.94 143.94 51.92
Closest atoms and distances in Å follow each position.
Sites, in units of the cell vectors:
Cl 0.7500 0.2500 0.5000  4 Sr 3.09
Sr 0.0000 0.0000 0.0000  4 As 3.09
As 0.5000 0.5000 0.0000  4 Sr 3.09
Sr 0.2500 0.7500 0.5000  4 Cl 3.09

Values from the calculation:
- SG: I-4m2
- Electronic total energy: -3.73 eV per atom
- Total magnetization: 0.000 μB per cell
- Fermi-level density of states: 0.134 states/eV/atom
- Formation energy from raw total energies: -1.261 eV per atom

***

(7)
The following is a DFT calculation (PBE-GGA) of a relaxed Cr2CoAu crystal.

Lattice parameters (Å, degrees): 3.6084 3.6084 8.9951 78.43 78.43 90.00
Closest atoms and distances in Å follow each position.
Sites, in units of the cell vectors:
Cr 0.8750 0.8122 0.7500  2 Cr 2.25, 2 Co 2.43
Cr 0.1878 0.6250 0.2500  2 Cr 2.25, 2 Co 2.43
Au 0.7500 0.2500 0.5000  4 Co 2.55, 4 Cr 2.60
Co 0.5000 0.5000 0.0000  4 Cr 2.43, 4 Au 2.55
Cr 0.5622 0.1250 0.2500  2 Cr 2.25, 2 Co 2.43
Co 0.2500 0.7500 0.5000  4 Cr 2.43, 4 Au 2.55
Cr 0.3750 0.4378 0.7500  2 Cr 2.25, 2 Co 2.43
Au 0.0000 0.0000 0.0000  4 Co 2.55, 4 Cr 2.60

Values from the calculation:
- E above lowest polymorph: 529.2 meV/atom
- SG: I-42d
- Electronic total energy: -6.71 eV per atom
- Total magnetization: 0.000 μB per cell
- Fermi-level density of states: 0.752 states/eV/atom
- Energy of formation from the pure elements: 0.695 eV/atom

***

(8)
The following is a DFT calculation (PBE-GGA) of a relaxed Sm2Dy3Tm7 crystal.

Lattice parameters (Å, degrees): 3.5787 5.6227 18.9061 98.55 90.00 90.00
Closest atoms and distances in Å follow each position.
Sites, in units of the cell vectors:
Tm 0.0000 0.7695 0.5391  1 Sm 3.13, 2 Tm 3.17
Tm 0.5000 0.0708 0.1417  8 Tm 3.20-3.58, 2 Sm 3.36
Tm 0.0000 0.2305 0.4609  1 Sm 3.13, 2 Tm 3.17
Sm 0.0000 0.1468 0.2936  3 Tm 3.13-3.36
Tm 0.5000 0.9292 0.8583  8 Tm 3.20-3.58, 2 Sm 3.36
Sm 0.0000 0.8532 0.7064  3 Tm 3.13-3.36
Tm 0.0000 0.0000 0.0000  6 Tm 3.20-3.58, 4 Dy 3.33
Dy 0.5000 0.5000 0.0000  4 Tm 3.33, 2 Dy 3.58
Dy 0.5000 0.6857 0.3713  2 Dy 3.58, 6 Tm 3.61-3.73, 4 Sm 3.64
Tm 0.0000 0.4104 0.8208  6 Tm 3.41-3.58, 2 Sm 3.53, 2 Dy 3.80
Dy 0.5000 0.3143 0.6287  2 Dy 3.58, 6 Tm 3.61-3.73, 4 Sm 3.64
Tm 0.0000 0.5896 0.1792  6 Tm 3.41-3.58, 2 Sm 3.53, 2 Dy 3.80

Values from the calculation:
- E above lowest polymorph: 28.1 meV/atom
- SG: Cmmm
- Electronic total energy: -4.43 eV per atom
- Total magnetization: 0.000 μB per cell
- Fermi-level density of states: 1.486 states/eV/atom
- Energy of formation from the pure elements: 0.114 eV/atom

***

(9)
The following is a DFT calculation (PBE-GGA) of a relaxed NbV2ZnFe crystal.

Lattice parameters (Å, degrees): 4.4147 4.7421 4.4147 90.00 90.00 90.00
Closest atoms and distances in Å follow each position.
Sites, in units of the cell vectors:
Zn 0.0000 0.0000 0.0000  4 V 2.21, 2 Nb 2.37
Fe 0.5000 0.5000 0.5000  4 Nb 3.12, 8 V 3.24
V 0.0000 0.0000 0.5000  2 Zn 2.21
Nb 0.0000 0.5000 0.0000  2 Zn 2.37
V 0.5000 0.0000 0.0000  2 Zn 2.21

Values from the calculation:
- SG: P4/mmm
- Electronic total energy: -6.11 eV per atom
- Total magnetization: 4.475 μB per cell
- Fermi-level density of states: 1.753 states/eV/atom
- Energy of formation from the pure elements: 1.501 eV/atom

***

(10)
The following is a DFT calculation (PBE-GGA) of a relaxed TiTl3Te2O9 crystal.

Lattice parameters (Å, degrees): 5.7938 5.7938 7.1038 90.00 90.00 120.00
Closest atoms and distances in Å follow each position.
Sites, in units of the cell vectors:
Te 0.3333 0.6667 0.1782  6 O 2.03-2.10
O 0.6678 0.8339 0.3389  1 Ti 2.02, 1 Te 2.03
Tl 0.3333 0.6667 0.6706  12 O 2.88-2.90
O 0.1661 0.3322 0.3389  1 Ti 2.02, 1 Te 2.03
Te 0.6667 0.3333 0.8218  6 O 2.03-2.10
O 0.5000 0.5000 0.0000  2 Te 2.10
O 0.5000 0.0000 0.0000  2 Te 2.10
Tl 0.0000 0.0000 0.0000  12 O 2.90-2.93
O 0.3322 0.1661 0.6611  1 Ti 2.02, 1 Te 2.03
O 0.8339 0.1661 0.6611  1 Ti 2.02, 1 Te 2.03
Ti 0.0000 0.0000 0.5000  6 O 2.02
O 0.1661 0.8339 0.3389  1 Ti 2.02, 1 Te 2.03
Tl 0.6667 0.3333 0.3294  12 O 2.88-2.90
O 0.8339 0.6678 0.6611  1 Ti 2.02, 1 Te 2.03
O 0.0000 0.5000 0.0000  2 Te 2.10

Values from the calculation:
- SG: P-3m1
- Electronic total energy: -5.54 eV per atom
- Total magnetization: 0.000 μB per cell
- Fermi-level density of states: 0.531 states/eV/atom
- Formation energy from raw total energies: -1.146 eV per atom

***

(11)
The following is a DFT calculation (PBE-GGA) of a relaxed AcPr2YHo5 crystal.

Lattice parameters (Å, degrees): 8.8553 8.8553 10.0325 116.19 116.19 90.00
Closest atoms and distances in Å follow each position.
Sites, in units of the cell vectors:
Pr 0.1172 0.3828 0.0000  1 Pr 2.94, 2 Ho 3.03
Ho 0.0000 0.0000 0.0000  4 Pr 3.54, 8 Ho 3.81, 2 Ac 3.92
Pr 0.8828 0.6172 0.0000  1 Pr 2.94, 2 Ho 3.03
Pr 0.3828 0.8828 0.0000  1 Pr 2.94, 2 Ho 3.03
Ho 0.9258 0.4258 0.2681  1 Pr 3.03, 1 Y 3.18
Ho 0.5000 0.5000 0.0000  4 Pr 3.54, 8 Ho 3.81, 2 Ac 3.92
Ho 0.4258 0.3423 0.2681  1 Pr 3.03, 1 Y 3.18
Y 0.7500 0.2500 0.5000  4 Ho 3.18
Ho 0.8423 0.9258 0.2681  1 Pr 3.03, 1 Y 3.18
Ac 0.7500 0.7500 0.5000  10 Ho 3.66-3.92
Ho 0.0742 0.5742 0.7319  1 Pr 3.03, 1 Y 3.18
Y 0.2500 0.7500 0.5000  4 Ho 3.18
Ho 0.3423 0.8423 0.2681  1 Pr 3.03, 1 Y 3.18
Ho 0.5742 0.6577 0.7319  1 Pr 3.03, 1 Y 3.18
Ho 0.6577 0.1577 0.7319  1 Pr 3.03, 1 Y 3.18
Ho 0.1577 0.0742 0.7319  1 Pr 3.03, 1 Y 3.18
Ac 0.2500 0.2500 0.5000  10 Ho 3.66-3.92
Pr 0.6172 0.1172 0.0000  1 Pr 2.94, 2 Ho 3.03

Values from the calculation:
- SG: I4/mcm
- Electronic total energy: -4.52 eV per atom
- Total magnetization: 0.000 μB per cell
- Fermi-level density of states: 1.085 states/eV/atom
- Energy of formation from the pure elements: 0.256 eV/atom

***

(12)
The following is a DFT calculation (PBE-GGA) of a relaxed TlTc2Se crystal.

Lattice parameters (Å, degrees): 3.9108 3.1604 5.8823 79.67 90.00 90.00
Closest atoms and distances in Å follow each position.
Sites, in units of the cell vectors:
Tl 0.5000 0.2500 0.2500  8 Tc 2.93-3.13, 2 Se 3.08, 2 Tl 3.16
Tc 0.0000 0.5920 0.5399  2 Se 2.41
Se 0.5000 0.7500 0.7500  4 Tc 2.41
Tc 0.0000 0.9080 0.9601  2 Se 2.41

Values from the calculation:
- E above lowest polymorph: 403.3 meV/atom
- SG: P2/m
- Electronic total energy: -6.04 eV per atom
- Total magnetization: 0.000 μB per cell
- Fermi-level density of states: 0.761 states/eV/atom
- Formation energy from raw total energies: 0.610 eV per atom